(1)
Below is crystalline Tb9CeHo2 at its relaxed geometry, with properties calculated at the PBE level.

Symmetry: P4/mmm (123)
Energy of formation in eV per atom: 0.04

```
Tb9CeHo2
1.0
-1.367 -4.601 1.481
3.204 -2.015 -3.303
10.855 0.137 10.446
Ho Tb Ce
2 9 1
direct
0.000 0.000 0.667 Ho
0.000 0.000 0.333 Ho
0.000 0.500 0.166 Tb
0.500 0.000 0.166 Tb
0.500 0.000 0.500 Tb
0.000 0.500 0.834 Tb
0.500 0.500 0.000 Tb
0.500 0.500 0.665 Tb
0.000 0.500 0.500 Tb
0.500 0.500 0.335 Tb
0.500 0.000 0.834 Tb
0.000 0.000 0.000 Ce
```

=====

(2)
Below is crystalline AcNd3Os at its relaxed geometry, with properties calculated at the PBE level.

ΔE to the lowest computed polymorph in eV/atom: 0.099
Symmetry: Pm-3m (221)
Energy of formation in eV per atom: 0.08

```
AcNd3Os
1.0
5.674 0.000 0.000
0.000 5.674 0.000
0.000 0.000 5.674
Nd Ac Os
3 1 1
direct
0.500 0.000 0.000 Nd
0.000 0.500 0.000 Nd
0.000 0.000 0.500 Nd
0.500 0.500 0.500 Ac
0.000 0.000 0.000 Os
```

=====

(3)
Below is crystalline LaPm3Rh3 at its relaxed geometry, with properties calculated at the PBE level.

ΔE to the lowest computed polymorph in eV/atom: 0.000
Symmetry: P4_2/mnm (136)
Energy of formation in eV per atom: -0.59

```
LaPm3Rh3
1.0
5.732 0.000 0.000
0.000 11.573 0.000
0.000 0.001 11.572
Rh Pm La
12 12 4
direct
0.000 0.881 0.119 Rh
0.500 0.628 0.130 Rh
0.000 0.128 0.370 Rh
0.500 0.870 0.372 Rh
0.500 0.381 0.381 Rh
0.000 0.630 0.872 Rh
0.500 0.130 0.628 Rh
0.000 0.119 0.881 Rh
0.000 0.370 0.128 Rh
0.500 0.372 0.870 Rh
0.500 0.619 0.619 Rh
0.000 0.872 0.630 Rh
0.000 0.370 0.370 Pm
0.500 0.130 0.870 Pm
0.500 0.382 0.125 Pm
0.000 0.882 0.375 Pm
0.500 0.870 0.130 Pm
0.500 0.125 0.382 Pm
0.000 0.118 0.625 Pm
0.000 0.625 0.118 Pm
0.500 0.618 0.875 Pm
0.500 0.875 0.618 Pm
0.000 0.630 0.630 Pm
0.000 0.375 0.882 Pm
0.000 0.125 0.125 La
0.500 0.625 0.375 La
0.500 0.375 0.625 La
0.000 0.875 0.875 La
```

=====

Number 1: calculated total energy -0.3451 Ry per atom. Number 2: calculated total energy -0.4296 Ry per atom. Number 3: calculated total energy -0.4765 Ry per atom.